Material: Ce2BeCdPd6
Method: DFT, PBE-GGA
State: optimized geometry

Calculated values
calculated formation energy	-0.531	eV per atom
E_tot	-5.298	eV per atom
total moment	0.1499	μB per atom

Unit cell a=5.803 b=5.803 c=7.860 alpha=111.61 beta=111.61 gamma=60.00
Atoms (fractional coordinates):
Ce (0.237, 0.237, 0.211)
Ce (0.763, 0.763, 0.789)
Be (0.500, 0.500, 0.000)
Cd (0.000, 0.000, 0.500)
Pd (0.217, 0.734, 0.186)
Pd (0.266, 0.266, 0.814)
Pd (0.266, 0.783, 0.814)
Pd (0.734, 0.217, 0.186)
Pd (0.734, 0.734, 0.186)
Pd (0.783, 0.266, 0.814)



Material: Tm3AlSi2Pt9
Method: DFT, PBE-GGA
State: optimized geometry

Calculated values
E_tot	-6.377	eV per atom
uncorrected formation energy	-13.28	eV/f.u.
total moment	0.0000	μB per atom

Unit cell a=5.596 b=5.596 c=11.165 alpha=90.00 beta=90.00 gamma=120.00
Atoms (fractional coordinates):
Tm (0.000, 0.000, 0.000)
Tm (0.333, 0.667, 0.760)
Tm (0.667, 0.333, 0.240)
Al (0.000, 0.000, 0.500)
Si (0.333, 0.667, 0.166)
Si (0.667, 0.333, 0.834)
Pt (0.000, 0.500, 0.000)
Pt (0.163, 0.327, 0.321)
Pt (0.163, 0.837, 0.321)
Pt (0.327, 0.163, 0.679)
Pt (0.500, 0.000, 0.000)
Pt (0.500, 0.500, 0.000)
Pt (0.673, 0.837, 0.321)
Pt (0.837, 0.163, 0.679)
Pt (0.837, 0.673, 0.679)



Material: ThGa2Ag
Method: DFT, PBE-GGA
State: optimized geometry

Calculated values
calculated formation energy	-0.404	eV per atom
E_tot	-4.485	eV per atom
total moment	0.0000	μB per atom

Unit cell a=7.076 b=4.394 c=11.104 alpha=90.00 beta=90.00 gamma=90.00
Atoms (fractional coordinates):
Th (0.168, 0.250, 0.140)
Th (0.332, 0.750, 0.640)
Th (0.668, 0.250, 0.360)
Th (0.832, 0.750, 0.860)
Ga (0.008, 0.250, 0.651)
Ga (0.142, 0.250, 0.857)
Ga (0.358, 0.750, 0.357)
Ga (0.492, 0.750, 0.151)
Ga (0.508, 0.250, 0.849)
Ga (0.642, 0.250, 0.643)
Ga (0.858, 0.750, 0.143)
Ga (0.992, 0.750, 0.349)
Ag (0.175, 0.250, 0.436)
Ag (0.325, 0.750, 0.936)
Ag (0.675, 0.250, 0.064)
Ag (0.825, 0.750, 0.564)



Material: Sr2TcBi2
Method: DFT, PBE-GGA
State: optimized geometry

Calculated values
calculated formation energy	-0.123	eV per atom
E_tot	-4.421	eV per atom
total moment	0.2122	μB per atom

Unit cell a=7.569 b=7.569 c=5.219 alpha=90.00 beta=90.00 gamma=90.00
Atoms (fractional coordinates):
Sr (0.170, 0.330, 0.000)
Sr (0.330, 0.830, 0.000)
Sr (0.670, 0.170, 0.000)
Sr (0.830, 0.670, 0.000)
Tc (0.000, 0.000, 0.500)
Tc (0.500, 0.500, 0.500)
Bi (0.150, 0.650, 0.500)
Bi (0.350, 0.150, 0.500)
Bi (0.650, 0.850, 0.500)
Bi (0.850, 0.350, 0.500)



Material: KMn2Zn
Method: DFT, PBE-GGA
State: optimized geometry

Calculated values
calculated formation energy	0.637	eV per atom
E_tot	-4.541	eV per atom
total moment	1.8371	μB per atom

Unit cell a=4.779 b=4.779 c=7.067 alpha=95.64 beta=95.64 gamma=34.67
Atoms (fractional coordinates):
K (0.000, 0.000, 0.000)
Mn (0.499, 0.499, 0.501)
Mn (0.774, 0.774, 0.357)
Zn (0.234, 0.234, 0.652)



Material: Fe2ReBiIr
Method: DFT, PBE-GGA
State: optimized geometry

Calculated values
calculated formation energy	2.535	eV per atom
E_tot	-5.888	eV per atom
total moment	1.5565	μB per atom

Unit cell a=4.674 b=4.674 c=5.017 alpha=90.00 beta=90.00 gamma=90.00
Atoms (fractional coordinates):
Fe (0.000, 0.500, 0.000)
Fe (0.500, 0.000, 0.000)
Re (0.000, 0.000, 0.500)
Bi (0.000, 0.000, 0.000)
Ir (0.500, 0.500, 0.500)



Material: Pr2DyCd5
Method: DFT, PBE-GGA
State: optimized geometry

Calculated values
calculated formation energy	-0.301	eV per atom
E_tot	-2.643	eV per atom
total moment	0.0335	μB per atom

Unit cell a=8.610 b=8.610 c=8.610 alpha=144.96 beta=144.96 gamma=50.39
Atoms (fractional coordinates):
Pr (0.238, 0.238, 0.000)
Pr (0.762, 0.762, 0.000)
Dy (0.500, 0.500, 0.000)
Cd (0.000, 0.000, 0.000)
Cd (0.113, 0.613, 0.500)
Cd (0.387, 0.887, 0.500)
Cd (0.613, 0.113, 0.500)
Cd (0.887, 0.387, 0.500)



Material: Nd4AgRh2
Method: DFT, PBE-GGA
State: optimized geometry

Calculated values
calculated formation energy	-0.474	eV per atom
E_tot	-5.706	eV per atom
total moment	0.0000	μB per atom

Unit cell a=7.831 b=7.824 c=9.111 alpha=54.44 beta=54.37 gamma=71.18
Atoms (fractional coordinates):
Nd (0.088, 0.218, 0.030)
Nd (0.218, 0.088, 0.664)
Nd (0.220, 0.586, 0.162)
Nd (0.317, 0.683, 0.438)
Nd (0.586, 0.220, 0.032)
Nd (0.683, 0.317, 0.562)
Nd (0.688, 0.812, 0.567)
Nd (0.812, 0.688, 0.933)
Ag (0.077, 0.077, 0.423)
Ag (0.827, 0.827, 0.173)
Rh (0.322, 0.582, 0.799)
Rh (0.451, 0.953, 0.928)
Rh (0.582, 0.322, 0.297)
Rh (0.953, 0.451, 0.668)



Material: Ag3Au5
Method: DFT, PBE-GGA
State: optimized geometry

Calculated values
calculated formation energy	-0.033	eV per atom
E_tot	-3.151	eV per atom
total moment	0.0000	μB per atom

Unit cell a=5.958 b=5.958 c=4.045 alpha=90.00 beta=90.00 gamma=90.61
Atoms (fractional coordinates):
Ag (0.000, 0.000, 0.000)
Ag (0.249, 0.249, 0.500)
Ag (0.751, 0.751, 0.500)
Au (0.000, 0.500, 0.000)
Au (0.249, 0.751, 0.500)
Au (0.500, 0.000, 0.000)
Au (0.500, 0.500, 0.000)
Au (0.751, 0.249, 0.500)



Material: AcTb2PmY5
Method: DFT, PBE-GGA
State: optimized geometry

Calculated values
calculated formation energy	0.156	eV per atom
E_tot	-5.448	eV per atom
total moment	0.0000	μB per atom

Unit cell a=12.251 b=12.251 c=9.415 alpha=90.00 beta=90.00 gamma=153.56
Atoms (fractional coordinates):
Ac (0.102, 0.898, 0.500)
Ac (0.898, 0.102, 0.000)
Tb (0.332, 0.668, 0.252)
Tb (0.387, 0.613, 0.645)
Tb (0.613, 0.387, 0.145)
Tb (0.668, 0.332, 0.752)
Pm (0.261, 0.739, 0.893)
Pm (0.739, 0.261, 0.393)
Y (0.024, 0.976, 0.182)
Y (0.103, 0.897, 0.899)
Y (0.191, 0.809, 0.201)
Y (0.243, 0.757, 0.564)
Y (0.493, 0.507, 0.410)
Y (0.507, 0.493, 0.910)
Y (0.757, 0.243, 0.064)
Y (0.809, 0.191, 0.701)
Y (0.897, 0.103, 0.399)
Y (0.976, 0.024, 0.682)



Material: AsPtRh2
Method: DFT, PBE-GGA
State: optimized geometry

Calculated values
calculated formation energy	0.392	eV per atom
E_tot	-5.956	eV per atom
total moment	0.0000	μB per atom

Unit cell a=7.336 b=7.336 c=7.336 alpha=139.01 beta=139.01 gamma=59.36
Atoms (fractional coordinates):
As (0.000, 0.000, 0.000)
As (0.750, 0.250, 0.500)
Pt (0.250, 0.750, 0.500)
Pt (0.500, 0.500, 0.000)
Rh (0.097, 0.625, 0.972)
Rh (0.375, 0.347, 0.472)
Rh (0.653, 0.125, 0.028)
Rh (0.875, 0.903, 0.528)



Material: Ac5As4Au
Method: DFT, PBE-GGA
State: optimized geometry

Calculated values
calculated formation energy	-1.296	eV per atom
E_tot	-5.538	eV per atom
total moment	0.0976	μB per atom

Unit cell a=12.118 b=12.118 c=12.118 alpha=158.49 beta=149.22 gamma=37.86
Atoms (fractional coordinates):
Ac (0.000, 0.000, 0.000)
Ac (0.199, 0.199, 0.000)
Ac (0.394, 0.394, 0.000)
Ac (0.606, 0.606, 0.000)
Ac (0.801, 0.801, 0.000)
As (0.100, 0.600, 0.500)
As (0.300, 0.800, 0.500)
As (0.700, 0.200, 0.500)
As (0.900, 0.400, 0.500)
Au (0.500, 0.000, 0.500)



Material: Nd4Sm3MgTe8
Method: DFT, PBE-GGA
State: optimized geometry

Calculated values
E_tot	-5.055	eV per atom
uncorrected formation energy	-20.92	eV/f.u.
total moment	0.0000	μB per atom

Unit cell a=8.942 b=8.942 c=8.942 alpha=59.59 beta=59.59 gamma=59.59
Atoms (fractional coordinates):
Nd (0.000, 0.000, 0.000)
Nd (0.000, 0.500, 0.500)
Nd (0.500, 0.000, 0.500)
Nd (0.500, 0.500, 0.000)
Sm (0.000, 0.000, 0.500)
Sm (0.000, 0.500, 0.000)
Sm (0.500, 0.000, 0.000)
Mg (0.500, 0.500, 0.500)
Te (0.249, 0.249, 0.249)
Te (0.258, 0.739, 0.739)
Te (0.261, 0.261, 0.742)
Te (0.261, 0.742, 0.261)
Te (0.739, 0.258, 0.739)
Te (0.739, 0.739, 0.258)
Te (0.742, 0.261, 0.261)
Te (0.751, 0.751, 0.751)



Material: La6P3S2I
Method: DFT, PBE-GGA
State: optimized geometry

Calculated values
E_tot	-6.366	eV per atom
uncorrected formation energy	-20.80	eV/f.u.
total moment	0.0000	μB per atom

Unit cell a=9.602 b=9.602 c=8.658 alpha=103.41 beta=103.41 gamma=25.62
Atoms (fractional coordinates):
La (0.000, 0.000, 0.220)
La (0.000, 0.000, 0.780)
La (0.322, 0.322, 0.415)
La (0.335, 0.335, 0.912)
La (0.665, 0.665, 0.088)
La (0.678, 0.678, 0.585)
P (0.163, 0.163, 0.333)
P (0.500, 0.500, 0.000)
P (0.837, 0.837, 0.667)
S (0.168, 0.168, 0.834)
S (0.832, 0.832, 0.166)
I (0.500, 0.500, 0.500)



Material: CaBePtAu2
Method: DFT, PBE-GGA
State: optimized geometry

Calculated values
calculated formation energy	-0.487	eV per atom
E_tot	-4.152	eV per atom
total moment	0.0000	μB per atom

Unit cell a=4.556 b=4.556 c=4.446 alpha=90.00 beta=90.00 gamma=90.00
Atoms (fractional coordinates):
Ca (0.000, 0.000, 0.000)
Be (0.500, 0.500, 0.500)
Pt (0.500, 0.500, 0.000)
Au (0.000, 0.500, 0.500)
Au (0.500, 0.000, 0.500)



Material: SrMgSn2Rh
Method: DFT, PBE-GGA
State: optimized geometry

Calculated values
calculated formation energy	-0.381	eV per atom
E_tot	-4.108	eV per atom
total moment	0.0000	μB per atom

Unit cell a=5.200 b=5.200 c=4.987 alpha=90.00 beta=90.00 gamma=90.00
Atoms (fractional coordinates):
Sr (0.000, 0.000, 0.000)
Mg (0.500, 0.500, 0.000)
Sn (0.000, 0.500, 0.500)
Sn (0.500, 0.000, 0.500)
Rh (0.500, 0.500, 0.500)



Material: Pa2TiTc
Method: DFT, PBE-GGA
State: optimized geometry

Calculated values
calculated formation energy	0.086	eV per atom
E_tot	-9.227	eV per atom
total moment	0.0908	μB per atom

Unit cell a=4.975 b=4.975 c=3.357 alpha=90.00 beta=90.00 gamma=90.00
Atoms (fractional coordinates):
Pa (0.000, 0.500, 0.000)
Pa (0.500, 0.000, 0.000)
Ti (0.000, 0.000, 0.500)
Tc (0.500, 0.500, 0.500)



Material: HfTaMo
Method: DFT, PBE-GGA
State: optimized geometry

Calculated values
calculated formation energy	-0.102	eV per atom
E_tot	-10.981	eV per atom
total moment	0.0000	μB per atom

Unit cell a=8.912 b=5.402 c=5.402 alpha=61.20 beta=90.00 gamma=90.00
Atoms (fractional coordinates):
Hf (0.183, 0.000, 0.000)
Hf (0.308, 0.666, 0.666)
Hf (0.692, 0.666, 0.666)
Hf (0.817, 0.000, 0.000)
Ta (0.245, 0.331, 0.331)
Ta (0.500, 0.165, 0.675)
Ta (0.500, 0.675, 0.165)
Ta (0.755, 0.331, 0.331)
Mo (0.000, 0.504, 0.504)
Mo (0.000, 0.506, 0.988)
Mo (0.000, 0.988, 0.506)
Mo (0.500, 0.166, 0.166)



Material: KRbTcRh2
Method: DFT, PBE-GGA
State: optimized geometry

Calculated values
calculated formation energy	0.928	eV per atom
E_tot	-4.499	eV per atom
total moment	0.0000	μB per atom

Unit cell a=4.769 b=4.769 c=5.954 alpha=90.00 beta=90.00 gamma=90.00
Atoms (fractional coordinates):
K (0.000, 0.000, 0.000)
Rb (0.500, 0.500, 0.000)
Tc (0.500, 0.500, 0.500)
Rh (0.000, 0.500, 0.500)
Rh (0.500, 0.000, 0.500)



Material: Li2AcPd2Au
Method: DFT, PBE-GGA
State: optimized geometry

Calculated values
calculated formation energy	-0.382	eV per atom
E_tot	-3.982	eV per atom
total moment	0.0000	μB per atom

Unit cell a=4.545 b=4.545 c=6.015 alpha=90.00 beta=90.00 gamma=90.00
Atoms (fractional coordinates):
Li (0.000, 0.500, 0.000)
Li (0.500, 0.000, 0.000)
Ac (0.000, 0.000, 0.500)
Pd (0.500, 0.500, 0.264)
Pd (0.500, 0.500, 0.736)
Au (0.000, 0.000, 0.000)



Material: SmGaNi
Method: DFT, PBE-GGA
State: optimized geometry

Calculated values
calculated formation energy	-0.334	eV per atom
E_tot	-4.843	eV per atom
total moment	0.0000	μB per atom

Unit cell a=3.248 b=3.248 c=10.757 alpha=90.00 beta=90.00 gamma=90.00
Atoms (fractional coordinates):
Sm (0.000, 0.000, 0.207)
Sm (0.000, 0.000, 0.793)
Ga (0.000, 0.000, 0.500)
Ga (0.500, 0.500, 0.000)
Ni (0.500, 0.500, 0.385)
Ni (0.500, 0.500, 0.615)



Material: IrWBr2
Method: DFT, PBE-GGA
State: optimized geometry

Calculated values
E_tot	-4.862	eV per atom
uncorrected formation energy	5.71	eV/f.u.
total moment	0.0000	μB per atom

Unit cell a=4.903 b=4.903 c=4.903 alpha=128.86 beta=128.86 gamma=75.23
Atoms (fractional coordinates):
Ir (0.000, 0.000, 0.000)
W (0.500, 0.500, 0.000)
Br (0.250, 0.750, 0.500)
Br (0.750, 0.250, 0.500)



Material: NaNi12B6
Method: DFT, PBE-GGA
State: optimized geometry

Calculated values
calculated formation energy	-0.255	eV per atom
E_tot	-6.085	eV per atom
total moment	0.0000	μB per atom

Unit cell a=6.027 b=6.027 c=6.027 alpha=104.67 beta=104.67 gamma=104.67
Atoms (fractional coordinates):
Na (0.000, 0.000, 0.000)
Ni (0.131, 0.500, 0.869)
Ni (0.131, 0.869, 0.500)
Ni (0.187, 0.454, 0.454)
Ni (0.454, 0.187, 0.454)
Ni (0.454, 0.454, 0.187)
Ni (0.500, 0.131, 0.869)
Ni (0.500, 0.869, 0.131)
Ni (0.546, 0.546, 0.813)
Ni (0.546, 0.813, 0.546)
Ni (0.813, 0.546, 0.546)
Ni (0.869, 0.131, 0.500)
Ni (0.869, 0.500, 0.131)
B (0.238, 0.238, 0.668)
B (0.238, 0.668, 0.238)
B (0.332, 0.762, 0.762)
B (0.668, 0.238, 0.238)
B (0.762, 0.332, 0.762)
B (0.762, 0.762, 0.332)